No. 1
CaLa2Rh2 | PBE-GGA | optimized geometry

Computed properties:
Energy above the lowest structure with this stoichiometry (eV per atom): 0.327
ΔH_f (0 K) (eV/atom): -0.267
Calculated volume (Å³/f.u.): 161
Final energy (eV per atom): -5.58

Cell lengths 10.1778, 10.1778, 10.1778 Å; angles 157.00, 157.00, 32.76 degrees
Atoms (fractional coordinates):
Ca  0.0000  0.0000  0.0000
La  0.3477  0.3477  0.0000
La  0.6523  0.6523  0.0000
Rh  0.2500  0.7500  0.5000
Rh  0.7500  0.2500  0.5000

No. 2
CaLa8Rh4 | PBE-GGA | optimized geometry

Computed properties:
ΔH_f (0 K) (eV/atom): -0.516
Calculated volume (Å³/f.u.): 444
Final energy (eV per atom): -5.96

Cell lengths 10.3800, 10.3800, 13.7521 Å; angles 130.20, 130.20, 23.48 degrees
Atoms (fractional coordinates):
Ca  0.0000  0.0000  0.0000
La  0.0413  0.0413  0.7399
La  0.2924  0.2924  0.9277
La  0.3342  0.3342  0.6609
La  0.3672  0.3672  0.4108
La  0.6328  0.6328  0.5892
La  0.6658  0.6658  0.3391
La  0.7076  0.7076  0.0723
La  0.9587  0.9587  0.2601
Rh  0.1454  0.1454  0.4602
Rh  0.3359  0.3359  0.1743
Rh  0.6641  0.6641  0.8257
Rh  0.8546  0.8546  0.5398

No. 3
CaLa2Rh2 | PBE-GGA | optimized geometry

Computed properties:
Energy above the lowest structure with this stoichiometry (eV per atom): 0.000
ΔH_f (0 K) (eV/atom): -0.593
Calculated volume (Å³/f.u.): 128
Final energy (eV per atom): -5.91

Cell lengths 8.0723, 8.0723, 3.9161 Å; angles 90.00, 90.00, 90.00 degrees
Atoms (fractional coordinates):
Ca  0.0000  0.0000  0.0000
Ca  0.5000  0.5000  0.0000
La  0.1545  0.3455  0.5000
La  0.3455  0.8455  0.5000
La  0.6545  0.1545  0.5000
La  0.8455  0.6545  0.5000
Rh  0.1431  0.6431  0.0000
Rh  0.3569  0.1431  0.0000
Rh  0.6431  0.8569  0.0000
Rh  0.8569  0.3569  0.0000

No. 4
Ca2LaRh2 | PBE-GGA | optimized geometry

Computed properties:
Energy above the lowest structure with this stoichiometry (eV per atom): 0.404
ΔH_f (0 K) (eV/atom): -0.089
Calculated volume (Å³/f.u.): 128
Final energy (eV per atom): -4.82

Cell lengths 6.2008, 6.2008, 6.2008 Å; angles 132.16, 132.16, 69.97 degrees
Atoms (fractional coordinates):
Ca  0.1519  0.1519  0.0000
Ca  0.8481  0.8481  0.0000
La  0.5000  0.5000  0.0000
Rh  0.2500  0.7500  0.5000
Rh  0.7500  0.2500  0.5000

No. 5
Ca2La3Rh2 | PBE-GGA | optimized geometry

Computed properties:
ΔH_f (0 K) (eV/atom): -0.465
Calculated volume (Å³/f.u.): 212
Final energy (eV per atom): -5.25

Cell lengths 6.7457, 6.7457, 9.4200 Å; angles 116.72, 116.72, 34.16 degrees
Atoms (fractional coordinates):
Ca  0.1746  0.1746  0.3079
Ca  0.8254  0.8254  0.6921
La  0.3835  0.3835  0.0692
La  0.5000  0.5000  0.5000
La  0.6165  0.6165  0.9308
Rh  0.1696  0.1696  0.7531
Rh  0.8304  0.8304  0.2469

No. 6
CaLaRh2 | PBE-GGA | optimized geometry

Computed properties:
ΔH_f (0 K) (eV/atom): -0.497
Calculated volume (Å³/f.u.): 93
Final energy (eV per atom): -5.90

Cell lengths 4.2921, 5.6137, 7.7144 Å; angles 90.00, 90.00, 90.00 degrees
Atoms (fractional coordinates):
Ca  0.0000  0.1299  0.0000
Ca  0.0000  0.8701  0.5000
La  0.5000  0.3625  0.6386
La  0.5000  0.6375  0.1386
Rh  0.0000  0.3747  0.3567
Rh  0.0000  0.6253  0.8567
Rh  0.5000  0.1130  0.2816
Rh  0.5000  0.8870  0.7816

No. 7
Ca2LaRh2 | PBE-GGA | optimized geometry

Computed properties:
Energy above the lowest structure with this stoichiometry (eV per atom): 0.000
ΔH_f (0 K) (eV/atom): -0.493
Calculated volume (Å³/f.u.): 126
Final energy (eV per atom): -5.22

Cell lengths 6.0601, 6.0601, 6.0601 Å; angles 138.77, 118.01, 77.19 degrees
Atoms (fractional coordinates):
Ca  0.1922  0.1922  0.0000
Ca  0.8078  0.8078  0.0000
La  0.5000  0.0000  0.5000
Rh  0.2202  0.5000  0.7202
Rh  0.7798  0.5000  0.2798

No. 8
Ca2La2Rh | PBE-GGA | optimized geometry

Computed properties:
Energy above the lowest structure with this stoichiometry (eV per atom): 0.179
ΔH_f (0 K) (eV/atom): -0.130
Calculated volume (Å³/f.u.): 173
Final energy (eV per atom): -4.37

Cell lengths 7.4118, 7.4118, 6.2847 Å; angles 90.00, 90.00, 90.00 degrees
Atoms (fractional coordinates):
Ca  0.1742  0.3258  0.0000
Ca  0.3258  0.8258  0.0000
Ca  0.6742  0.1742  0.0000
Ca  0.8258  0.6742  0.0000
La  0.1665  0.6665  0.5000
La  0.3335  0.1665  0.5000
La  0.6665  0.8335  0.5000
La  0.8335  0.3335  0.5000
Rh  0.0000  0.0000  0.5000
Rh  0.5000  0.5000  0.5000

No. 9
CaLa6Rh4 | PBE-GGA | optimized geometry

Computed properties:
ΔH_f (0 K) (eV/atom): -0.553
Calculated volume (Å³/f.u.): 312
Final energy (eV per atom): -6.10

Cell lengths 6.2435, 6.3013, 9.1191 Å; angles 105.36, 101.12, 108.75 degrees
Atoms (fractional coordinates):
Ca  0.0000  0.0000  0.0000
La  0.1248  0.5399  0.6418
La  0.4390  0.2687  0.4020
La  0.4635  0.2202  0.8244
La  0.4752  0.7588  0.0940
La  0.7458  0.9318  0.5815
La  0.9351  0.5298  0.2225
Rh  0.0047  0.4698  0.9245
Rh  0.2052  0.9143  0.5109
Rh  0.6638  0.5888  0.7227
Rh  0.8789  0.0914  0.3267

No. 10
Ca2LaRh2 | PBE-GGA | optimized geometry

Computed properties:
Energy above the lowest structure with this stoichiometry (eV per atom): 0.189
ΔH_f (0 K) (eV/atom): -0.304
Calculated volume (Å³/f.u.): 126
Final energy (eV per atom): -5.03

Cell lengths 7.1810, 7.1810, 7.1810 Å; angles 144.28, 144.28, 51.41 degrees
Atoms (fractional coordinates):
Ca  0.2500  0.7500  0.5000
Ca  0.7500  0.2500  0.5000
La  0.0000  0.0000  0.0000
Rh  0.4005  0.4005  0.0000
Rh  0.5995  0.5995  0.0000

No. 11
CaLaRh | PBE-GGA | optimized geometry

Computed properties:
Energy above the lowest structure with this stoichiometry (eV per atom): 0.012
ΔH_f (0 K) (eV/atom): -0.449
Calculated volume (Å³/f.u.): 86
Final energy (eV per atom): -5.21

Cell lengths 7.2467, 7.2467, 7.2467 Å; angles 151.65, 151.65, 40.52 degrees
Atoms (fractional coordinates):
Ca  0.0000  0.0000  0.0000
La  0.2512  0.2512  0.0000
Rh  0.6361  0.6361  0.0000

No. 12
CaLaRh2 | PBE-GGA | optimized geometry

Computed properties:
ΔH_f (0 K) (eV/atom): -0.381
Calculated volume (Å³/f.u.): 87
Final energy (eV per atom): -5.79

Cell lengths 5.6513, 5.6513, 4.9900 Å; angles 101.05, 101.05, 33.78 degrees
Atoms (fractional coordinates):
Ca  0.0000  0.0000  0.0000
La  0.2216  0.2216  0.5967
Rh  0.4595  0.4595  0.4801
Rh  0.7507  0.7507  0.1164

No. 13
CaLa2Rh2 | PBE-GGA | optimized geometry

Computed properties:
Energy above the lowest structure with this stoichiometry (eV per atom): 0.161
ΔH_f (0 K) (eV/atom): -0.432
Calculated volume (Å³/f.u.): 123
Final energy (eV per atom): -5.74

Cell lengths 8.5213, 8.5213, 3.3874 Å; angles 90.00, 90.00, 90.00 degrees
Atoms (fractional coordinates):
Ca  0.0000  0.0000  0.0000
Ca  0.5000  0.5000  0.0000
La  0.1402  0.3598  0.0000
La  0.3598  0.8598  0.0000
La  0.6402  0.1402  0.0000
La  0.8598  0.6402  0.0000
Rh  0.1647  0.6647  0.5000
Rh  0.3353  0.1647  0.5000
Rh  0.6647  0.8353  0.5000
Rh  0.8353  0.3353  0.5000

No. 14
CaLa2Rh2 | PBE-GGA | optimized geometry

Computed properties:
Energy above the lowest structure with this stoichiometry (eV per atom): 0.207
ΔH_f (0 K) (eV/atom): -0.386
Calculated volume (Å³/f.u.): 138
Final energy (eV per atom): -5.70

Cell lengths 6.6412, 6.6412, 6.6412 Å; angles 136.21, 136.21, 63.66 degrees
Atoms (fractional coordinates):
Ca  0.0000  0.0000  0.0000
La  0.2500  0.7500  0.5000
La  0.7500  0.2500  0.5000
Rh  0.3825  0.3825  0.0000
Rh  0.6175  0.6175  0.0000

No. 15
CaLaRh | PBE-GGA | optimized geometry

Computed properties:
Energy above the lowest structure with this stoichiometry (eV per atom): 0.006
ΔH_f (0 K) (eV/atom): -0.455
Calculated volume (Å³/f.u.): 97
Final energy (eV per atom): -5.22

Cell lengths 4.1184, 4.1184, 6.6279 Å; angles 90.00, 90.00, 120.00 degrees
Atoms (fractional coordinates):
Ca  0.0000  0.0000  0.0000
La  0.6667  0.3333  0.5289
Rh  0.3333  0.6667  0.7435

No. 16
CaLaRh2 | PBE-GGA | optimized geometry

Computed properties:
ΔH_f (0 K) (eV/atom): -0.292
Calculated volume (Å³/f.u.): 92
Final energy (eV per atom): -5.70

Cell lengths 3.3732, 4.7683, 5.6970 Å; angles 90.00, 90.00, 90.00 degrees
Atoms (fractional coordinates):
Ca  0.0000  0.0000  0.0000
La  0.5000  0.5000  0.4352
Rh  0.0000  0.0000  0.5070
Rh  0.5000  0.5000  0.9174

No. 17
CaLaRhS | PBE-GGA | optimized geometry

Computed properties:
Energy above the lowest structure with this stoichiometry (eV per atom): 0.086
Calculated volume (Å³/f.u.): 100
Uncorrected formation energy (eV per atom): -1.191
Final energy (eV per atom): -5.79

Cell lengths 4.0096, 4.0096, 7.2028 Å; angles 90.00, 90.00, 120.00 degrees
Atoms (fractional coordinates):
Ca  0.0000  0.0000  0.0000
La  0.6667  0.3333  0.5070
Rh  0.3333  0.6667  0.7293
S  0.3333  0.6667  0.2270

No. 18
CaLaRhS | PBE-GGA | optimized geometry

Computed properties:
Energy above the lowest structure with this stoichiometry (eV per atom): 0.029
Calculated volume (Å³/f.u.): 101
Uncorrected formation energy (eV per atom): -1.248
Final energy (eV per atom): -5.85

Cell lengths 7.3712, 7.3712, 7.3712 Å; angles 32.21, 32.21, 32.21 degrees
Atoms (fractional coordinates):
Ca  0.0000  0.0000  0.0000
La  0.4970  0.4970  0.4970
Rh  0.7593  0.7593  0.7593
S  0.2550  0.2550  0.2550

No. 19
CaLaRhS | PBE-GGA | optimized geometry

Computed properties:
Energy above the lowest structure with this stoichiometry (eV per atom): 0.094
Calculated volume (Å³/f.u.): 93
Uncorrected formation energy (eV per atom): -1.183
Final energy (eV per atom): -5.78

Cell lengths 4.8058, 5.5650, 5.5650 Å; angles 38.69, 90.00, 90.00 degrees
Atoms (fractional coordinates):
Ca  0.0000  0.0000  0.0000
La  0.5000  0.2651  0.2651
Rh  0.5000  0.5055  0.5055
S  0.0000  0.7277  0.7277

No. 20
CaLaRhS | PBE-GGA | optimized geometry

Computed properties:
Energy above the lowest structure with this stoichiometry (eV per atom): 0.054
Calculated volume (Å³/f.u.): 102
Uncorrected formation energy (eV per atom): -1.223
Final energy (eV per atom): -5.82

Cell lengths 4.2386, 4.2386, 5.6768 Å; angles 90.00, 90.00, 90.00 degrees
Atoms (fractional coordinates):
Ca  0.0000  0.0000  0.0000
La  0.5000  0.5000  0.4614
Rh  0.5000  0.5000  0.0258
S  0.0000  0.0000  0.5029